Computed, not measured: crystalline Hg2BrN at its relaxed geometry at the PBE level of DFT.

Calculated values
Electronic total energy = -9.66 eV per formula unit
Space group = No. 194

a b c (Å): 6.7387 6.7387 11.4463
angles (deg): 90.00 90.00 120.00
Last column: nearest neighbours and their distance in Å.
Sites, in units of the cell vectors:
Hg 0.0000 0.5000 0.0000  2 N 2.10
Hg 0.0000 0.5000 0.5000  2 N 2.10
Hg 0.3333 0.6667 0.2500  2 N 2.07
Hg 0.5000 0.0000 0.0000  2 N 2.10
Hg 0.5000 0.0000 0.5000  2 N 2.10
Hg 0.5000 0.5000 0.0000  2 N 2.10
Hg 0.5000 0.5000 0.5000  2 N 2.10
Hg 0.6667 0.3333 0.7500  2 N 2.07
Br 0.0000 0.0000 0.0000  6 Hg 3.37
Br 0.0000 0.0000 0.5000  6 Hg 3.37
Br 0.3333 0.6667 0.7500  6 Hg 3.46, 2 N 3.66
Br 0.6667 0.3333 0.2500  6 Hg 3.46, 2 N 3.66
N 0.3333 0.6667 0.0693  4 Hg 2.07-2.10
N 0.3333 0.6667 0.4307  4 Hg 2.07-2.10
N 0.6667 0.3333 0.5693  4 Hg 2.07-2.10
N 0.6667 0.3333 0.9307  4 Hg 2.07-2.10